Below is a relaxed CdGeAs3 crystal, with properties calculated at the GGA-PBE level.

Values from the calculation:
V	530.12	Å³ per cell
ΔE_f	116	meV per atom
E	-75.61	eV for the cell shown

Unit cell a=8.5730 b=8.5730 c=9.2799 alpha=100.76 beta=100.76 gamma=122.50
Fractional positions:
1 Cd 0.1106 0.8894 0.7500
2 Cd 0.3147 0.6853 0.2500
3 Cd 0.6853 0.3147 0.7500
4 Cd 0.8894 0.1106 0.2500
5 Ge 0.2375 0.4189 0.6908
6 Ge 0.4189 0.2375 0.1908
7 Ge 0.5811 0.7625 0.8092
8 Ge 0.7625 0.5811 0.3092
9 As 0.0279 0.2998 0.8585
10 As 0.0720 0.6576 0.4821
11 As 0.1655 0.2971 0.1195
12 As 0.2971 0.1655 0.6195
13 As 0.2998 0.0279 0.3585
14 As 0.3424 0.9280 0.0179
15 As 0.6576 0.0720 0.9821
16 As 0.7002 0.9721 0.6415
17 As 0.7029 0.8345 0.3805
18 As 0.8345 0.7029 0.8805
19 As 0.9280 0.3424 0.5179
20 As 0.9721 0.7002 0.1415


Below is a relaxed Ca2AsBr crystal, with properties calculated at the GGA-PBE level.

Values from the calculation:
V	101.45	Å³ per cell
ΔE_f (raw)	-1.30	eV per atom
E	-15.53	eV for the cell shown

Unit cell a=5.2351 b=5.2351 c=5.2351 alpha=60.00 beta=60.00 gamma=60.00
Fractional positions:
1 Ca 0.2500 0.2500 0.2500
2 Ca 0.7500 0.7500 0.7500
3 As 0.0000 0.0000 0.0000
4 Br 0.5000 0.5000 0.5000


Below is a relaxed Al2TlAg2 crystal, with properties calculated at the GGA-PBE level.

Values from the calculation:
V	199.74	Å³ per cell
ΔE_f	66	meV per atom
E	-30.44	eV for the cell shown

Unit cell a=8.3415 b=8.3415 c=2.8707 alpha=90.00 beta=90.00 gamma=90.00
Fractional positions:
1 Al 0.1226 0.3774 0.0000
2 Al 0.3774 0.8774 0.0000
3 Al 0.6226 0.1226 0.0000
4 Al 0.8774 0.6226 0.0000
5 Tl 0.0000 0.0000 0.0000
6 Tl 0.5000 0.5000 0.0000
7 Ag 0.1717 0.6717 0.5000
8 Ag 0.3283 0.1717 0.5000
9 Ag 0.6717 0.8283 0.5000
10 Ag 0.8283 0.3283 0.5000


Below is a relaxed TbSm2Si crystal, with properties calculated at the GGA-PBE level.

Values from the calculation:
V	103.73	Å³ per cell
ΔE_f (raw)	-0.26	eV per atom
E	-20.51	eV for the cell shown

Unit cell a=4.6863 b=4.6863 c=4.7234 alpha=90.00 beta=90.00 gamma=90.00
Fractional positions:
1 Tb 0.0000 0.0000 0.0000
2 Sm 0.0000 0.5000 0.5000
3 Sm 0.5000 0.0000 0.5000
4 Si 0.5000 0.5000 0.0000